[1]
A relaxed structure of SrLi2MgCu. Source: Alexandria, functional GGA-PBE.

abc: 5.0321 5.0321 5.0289
angles: 90.00 90.00 90.00
Closest atoms and distances in Å follow each position.
Fractional coordinates of all 5 atoms:
Li  0.5000  0.0000  0.0000  2 Cu 2.52
Cu  0.0000  0.0000  0.0000  2 Mg 2.51, 4 Li 2.52
Sr  0.5000  0.5000  0.5000  8 Li 3.56, 4 Mg 3.56
Li  0.0000  0.5000  0.0000  2 Cu 2.52
Mg  0.0000  0.0000  0.5000  2 Cu 2.51

DFT total energy in eV per atom: -2.19
Energy of formation in eV/atom: 0.049
Space group: P4/mmm, No. 123


[2]
A relaxed structure of LiMgCuTe2. Source: Alexandria, functional GGA-PBE.

abc: 5.4113 4.9932 5.4113
angles: 90.00 90.00 90.00
Closest atoms and distances in Å follow each position.
Fractional coordinates of all 5 atoms:
Li  0.0000  0.5000  0.0000  2 Mg 2.50
Te  0.0000  0.0000  0.5000  2 Mg 2.71
Mg  0.0000  0.0000  0.0000  2 Li 2.50, 4 Te 2.71
Cu  0.5000  0.5000  0.5000  8 Te 3.68, 4 Li 3.83
Te  0.5000  0.0000  0.0000  2 Mg 2.71

DFT total energy in eV per atom: -2.34
Space group: P4/mmm, No. 123
Formation energy without anion corrections in meV per atom: 435


[3]
A relaxed structure of Li2Mg3Tl3Cu. Source: Alexandria, functional GGA-PBE.

abc: 3.2688 8.1694 8.1694
angles: 120.00 90.00 90.00
Closest atoms and distances in Å follow each position.
Fractional coordinates of all 9 atoms:
Mg  0.5000  0.2641  0.2641  2 Cu 2.71
Tl  0.0000  0.0000  0.3803  4 Li 3.03, 1 Cu 3.11, 6 Mg 3.21-3.33, 2 Tl 3.27
Tl  0.0000  0.3803  0.0000  4 Li 3.03, 1 Cu 3.11, 6 Mg 3.21-3.33, 2 Tl 3.27
Li  0.5000  0.3333  0.6667  6 Tl 3.03, 3 Mg 3.05, 2 Li 3.27
Mg  0.5000  0.7359  0.0000  2 Cu 2.71
Mg  0.5000  0.0000  0.7359  2 Cu 2.71
Tl  0.0000  0.6197  0.6197  4 Li 3.03, 1 Cu 3.11, 6 Mg 3.21-3.33, 2 Tl 3.27
Li  0.5000  0.6667  0.3333  6 Tl 3.03, 3 Mg 3.05, 2 Li 3.27
Cu  0.0000  0.0000  0.0000  6 Mg 2.71

DFT total energy in eV per atom: -2.31
Energy of formation in eV/atom: -0.105
Space group: P-62m, No. 189


[4]
A relaxed structure of LiMgTlCu2. Source: Alexandria, functional GGA-PBE.

abc: 4.9151 4.8946 4.9151
angles: 90.00 90.00 90.00
Closest atoms and distances in Å follow each position.
Fractional coordinates of all 5 atoms:
Li  0.0000  0.5000  0.0000  2 Tl 2.45
Cu  0.0000  0.0000  0.5000  2 Tl 2.46
Mg  0.5000  0.5000  0.5000  8 Cu 3.47, 4 Li 3.48
Tl  0.0000  0.0000  0.0000  2 Li 2.45, 4 Cu 2.46
Cu  0.5000  0.0000  0.0000  2 Tl 2.46

DFT total energy in eV per atom: -2.25
Energy of formation in eV/atom: 0.561
Space group: P4/mmm, No. 123


[5]
A relaxed structure of LiY2MgCu. Source: Alexandria, functional GGA-PBE.

abc: 5.3885 4.8924 5.3885
angles: 90.00 90.00 90.00
Closest atoms and distances in Å follow each position.
Fractional coordinates of all 5 atoms:
Cu  0.0000  0.0000  0.0000  2 Mg 2.45, 4 Y 2.69
Y  0.5000  0.0000  0.0000  2 Cu 2.69
Li  0.5000  0.5000  0.5000  8 Y 3.64, 4 Mg 3.81
Y  0.0000  0.0000  0.5000  2 Cu 2.69
Mg  0.0000  0.5000  0.0000  2 Cu 2.45

DFT total energy in eV per atom: -3.95
Energy of formation in eV/atom: 0.153
Space group: P4/mmm, No. 123


[6]
A relaxed structure of Li2MgZn2Cu5. Source: Alexandria, functional GGA-PBE.

abc: 4.0661 8.3853 8.3853
angles: 90.00 90.00 90.00
Closest atoms and distances in Å follow each position.
Fractional coordinates of all 20 atoms:
Cu  0.5000  0.2032  0.0781  2 Zn 2.53, 4 Cu 2.57-2.59, 2 Mg 2.73
Cu  0.5000  0.5781  0.7032  2 Zn 2.53, 4 Cu 2.57-2.59, 2 Mg 2.73
Cu  0.5000  0.0781  0.7968  2 Zn 2.53, 4 Cu 2.57-2.59, 2 Mg 2.73
Zn  0.0000  0.6219  0.8781  3 Li 2.43-2.51, 6 Cu 2.49-2.53
Cu  0.5000  0.0000  0.5000  4 Zn 2.49, 4 Cu 2.57
Cu  0.5000  0.5000  0.0000  4 Zn 2.49, 4 Cu 2.57
Zn  0.0000  0.3781  0.1219  3 Li 2.43-2.51, 6 Cu 2.49-2.53
Cu  0.5000  0.7032  0.4219  2 Zn 2.53, 4 Cu 2.57-2.59, 2 Mg 2.73
Cu  0.5000  0.9219  0.2032  2 Zn 2.53, 4 Cu 2.57-2.59, 2 Mg 2.73
Cu  0.5000  0.4219  0.2968  2 Zn 2.53, 4 Cu 2.57-2.59, 2 Mg 2.73
Zn  0.0000  0.1219  0.6219  3 Li 2.43-2.51, 6 Cu 2.49-2.53
Mg  0.0000  0.0000  0.0000  8 Cu 2.73
Mg  0.0000  0.5000  0.5000  8 Cu 2.73
Cu  0.5000  0.7968  0.9219  2 Zn 2.53, 4 Cu 2.57-2.59, 2 Mg 2.73
Li  0.0000  0.1732  0.3268  3 Zn 2.43-2.51
Li  0.0000  0.8268  0.6732  3 Zn 2.43-2.51
Cu  0.5000  0.2968  0.5781  2 Zn 2.53, 4 Cu 2.57-2.59, 2 Mg 2.73
Zn  0.0000  0.8781  0.3781  3 Li 2.43-2.51, 6 Cu 2.49-2.53
Li  0.0000  0.3268  0.8268  3 Zn 2.43-2.51
Li  0.0000  0.6732  0.1732  3 Zn 2.43-2.51

DFT total energy in eV per atom: -2.90
Energy of formation in eV/atom: -0.057
Space group: P4/mbm, No. 127


- Look up the DFT total energy of the first one.
  -2.19 eV per atom


- Which value of DFT total energy does entry 2 give?
  -2.34 eV per atom


- The lowest DFT total energy belongs to which entry?
  LiY2MgCu